Compound: Pa3Au
Source: the Alexandria database
Functional: PBE-GGA
Structure: relaxed

POSCAR file:
```
Pa3Au
1.0
5.400 0.000 0.000
0.000 5.400 0.000
0.000 0.000 3.214
Pa Au
3 1
Direct
0.000 0.000 0.000 Pa
0.000 0.500 0.500 Pa
0.500 0.000 0.500 Pa
0.500 0.500 0.000 Au
```

- Fermi-level density of states (states/eV per cell) = 7.30
- offset from the most stable computed form (kcal/mol of atoms) = 0.000
- raw total energy (eV per atom) = -8.15
- formation enthalpy at 0 K (meV per atom) = -212.8
- space group = P4/mmm, No. 123